VASP calculation (GGA-PBE) on Sc6Cd5Tc after structural relaxation.

a b c (Å): 4.9091 14.7180 7.0398
angles (deg): 90.00 90.00 90.00
Space group Cmmm (No. 65)
Unique sites:
Sc  0.0000  0.0000  0.2270 [4 per cell]
Sc  0.0000  0.3450  0.2363 [8 per cell]
Cd  0.0000  0.1710  0.5000 [4 per cell]
Cd  0.0000  0.1727  0.0000 [4 per cell]
Cd  0.0000  0.5000  0.5000 [2 per cell]
Tc  0.0000  0.5000  0.0000 [2 per cell]

Output
- energy of formation from the pure elements (kJ/mol of atoms) = -29.3
- calculated total energy (eV/atom) = -4.714
- crystal system = orthorhombic


VASP calculation (GGA-PBE) on CoNi2Ge2 after structural relaxation.

a b c (Å): 5.9318 9.7368 4.5822
angles (deg): 90.00 90.00 90.00
Space group Ibam (No. 72)
Unique sites:
Co  0.0000  0.0000  0.2500 [4 per cell]
Ni  0.1447  0.4066  0.0000 [8 per cell]
Ge  0.2491  0.3363  0.5000 [8 per cell]

Output
- energy of formation from the pure elements (kJ/mol of atoms) = -12.3
- E above lowest polymorph (meV per atom) = 0
- calculated total energy (eV/atom) = -5.708
- crystal system = orthorhombic


VASP calculation (GGA-PBE) on BaSr3Ag4 after structural relaxation.

a b c (Å): 7.9540 7.9540 7.9540
angles (deg): 90.00 90.00 90.00
Space group Im-3m (No. 229)
Unique sites:
Ba  0.0000  0.0000  0.0000 [2 per cell]
Sr  0.0000  0.0000  0.5000 [6 per cell]
Ag  0.2500  0.2500  0.2500 [8 per cell]

Output
- energy of formation from the pure elements (kJ/mol of atoms) = -24.4
- E above lowest polymorph (meV per atom) = 46
- calculated total energy (eV/atom) = -2.550
- crystal system = cubic


VASP calculation (GGA-PBE) on Nd3Cd7In2 after structural relaxation.

a b c (Å): 6.0668 6.0668 28.8905
angles (deg): 90.00 90.00 120.00
Space group R-3m (No. 166, hexagonal axes)
Unique sites:
Nd  0.0000  0.0000  0.0000 [3 per cell]
Nd  0.0000  0.0000  0.1423 [6 per cell]
Cd  0.0000  0.0000  0.5000 [3 per cell]
Cd  0.0080  0.5040  0.9143 [18 per cell]
In  0.0000  0.0000  0.3352 [6 per cell]

Output
- energy of formation from the pure elements (kJ/mol of atoms) = -24.1
- calculated total energy (eV/atom) = -2.432
- crystal system = trigonal


VASP calculation (GGA-PBE) on Li2PaTa3N6 after structural relaxation.

a b c (Å): 5.3795 9.3644 5.6420
angles (deg): 90.00 107.60 90.00
Space group C2/m (No. 12)
Unique sites:
Li  0.0000  0.1666  0.0000 [4 per cell]
Pa  0.0000  0.5000  0.0000 [2 per cell]
Ta  0.0000  0.0000  0.5000 [2 per cell]
Ta  0.0000  0.3188  0.5000 [4 per cell]
N  0.2370  0.5000  0.7223 [4 per cell]
N  0.2466  0.1687  0.7345 [8 per cell]

Output
- calculated total energy (eV/atom) = -9.471
- crystal system = monoclinic


VASP calculation (GGA-PBE) on TlCrNiS3 after structural relaxation.

a b c (Å): 7.9110 3.5109 9.2689
angles (deg): 90.00 113.73 90.00
Space group P2_1/m (No. 11)
Unique sites:
Tl  0.0005  0.2500  0.2722 [2 per cell]
Cr  0.4700  0.2500  0.1661 [2 per cell]
Ni  0.4762  0.7500  0.3920 [2 per cell]
S  0.2592  0.7500  0.1512 [2 per cell]
S  0.3360  0.7500  0.5680 [2 per cell]
S  0.3491  0.2500  0.8817 [2 per cell]

Output
- calculated total energy (eV/atom) = -5.531
- crystal system = monoclinic


VASP calculation (GGA-PBE) on V4Rh5W after structural relaxation.

a b c (Å): 2.7412 3.7345 13.6879
angles (deg): 90.00 90.00 90.00
Space group Pmmm (No. 47)
Unique sites:
V  0.0000  0.0000  0.0993 [2 per cell]
V  0.0000  0.0000  0.2965 [2 per cell]
Rh  0.5000  0.5000  0.0000 [1 per cell]
Rh  0.5000  0.5000  0.1991 [2 per cell]
Rh  0.5000  0.5000  0.3972 [2 per cell]
W  0.0000  0.0000  0.5000 [1 per cell]

Output
- energy of formation from the pure elements (kJ/mol of atoms) = -31.1
- calculated total energy (eV/atom) = -8.940
- crystal system = orthorhombic


VASP calculation (GGA-PBE) on Zn5NiIr2 after structural relaxation.

a b c (Å): 5.9676 5.9676 6.1520
angles (deg): 90.00 90.00 90.00
Space group I4/mmm (No. 139)
Unique sites:
Zn  0.0000  0.0000  0.0000 [2 per cell]
Zn  0.2500  0.2500  0.2500 [8 per cell]
Ni  0.0000  0.0000  0.5000 [2 per cell]
Ir  0.0000  0.5000  0.0000 [4 per cell]

Output
- energy of formation from the pure elements (kJ/mol of atoms) = -18.3
- calculated total energy (eV/atom) = -3.924
- crystal system = tetragonal


VASP calculation (GGA-PBE) on RbPb3 after structural relaxation.

a b c (Å): 5.1980 5.1980 10.2029
angles (deg): 90.00 90.00 90.00
Space group I4/mmm (No. 139)
Unique sites:
Rb  0.0000  0.0000  0.0000 [2 per cell]
Pb  0.0000  0.0000  0.5000 [2 per cell]
Pb  0.0000  0.5000  0.2500 [4 per cell]

Output
- energy of formation from the pure elements (kJ/mol of atoms) = 1.8
- calculated total energy (eV/atom) = -3.005
- crystal system = tetragonal


VASP calculation (GGA-PBE) on Na2SbTe after structural relaxation.

a b c (Å): 7.6086 7.6086 7.6086
angles (deg): 90.00 90.00 90.00
Space group Fm-3m (No. 225)
Unique sites:
Na  0.2500  0.2500  0.2500 [8 per cell]
Sb  0.0000  0.0000  0.0000 [4 per cell]
Te  0.0000  0.0000  0.5000 [4 per cell]

Output
- E above lowest polymorph (meV per atom) = 0
- calculated total energy (eV/atom) = -2.793
- crystal system = cubic


VASP calculation (GGA-PBE) on Tb4DyEr6 after structural relaxation.

a b c (Å): 5.6173 9.5795 25.4761
angles (deg): 90.00 90.00 90.00
Space group Cmcm (No. 63)
Unique sites:
Tb  0.0000  0.0155  0.1214 [8 per cell]
Tb  0.0000  0.3382  0.0426 [8 per cell]
Dy  0.0000  0.3246  0.7500 [4 per cell]
Er  0.0000  0.0000  0.0000 [4 per cell]
Er  0.0000  0.0091  0.2500 [4 per cell]
Er  0.0000  0.3208  0.6047 [8 per cell]
Er  0.0000  0.3449  0.1819 [8 per cell]

Output
- energy of formation from the pure elements (kJ/mol of atoms) = 12.2
- E above lowest polymorph (meV per atom) = 0
- calculated total energy (eV/atom) = -4.464
- crystal system = orthorhombic


VASP calculation (GGA-PBE) on UGaPdPt after structural relaxation.

a b c (Å): 6.6811 6.6811 6.6811
angles (deg): 90.00 90.00 90.00
Space group F-43m (No. 216)
Unique sites:
U  0.0000  0.0000  0.0000 [4 per cell]
Ga  0.0000  0.0000  0.5000 [4 per cell]
Pd  0.2500  0.2500  0.7500 [4 per cell]
Pt  0.2500  0.2500  0.2500 [4 per cell]

Output
- energy of formation from the pure elements (kJ/mol of atoms) = -48.8
- calculated total energy (eV/atom) = -6.893
- crystal system = cubic


VASP calculation (GGA-PBE) on YReAu2 after structural relaxation.

a b c (Å): 3.1244 4.7847 5.0588
angles (deg): 90.00 90.77 90.00
Space group Pm (No. 6)
Unique sites:
Y  0.0000  0.0000  0.0000 [1 per cell]
Re  0.0232  0.5000  0.6158 [1 per cell]
Au  0.5019  0.0000  0.5137 [1 per cell]
Au  0.5055  0.5000  0.1549 [1 per cell]

Output
- energy of formation from the pure elements (kJ/mol of atoms) = 8.0
- E above lowest polymorph (meV per atom) = 56
- calculated total energy (eV/atom) = -6.284
- crystal system = monoclinic


VASP calculation (GGA-PBE) on Re2TeAs after structural relaxation.

a b c (Å): 4.3687 4.3687 16.4269
angles (deg): 90.00 90.00 90.00
Space group I-42d (No. 122)
Unique sites:
Re  0.1896  0.2500  0.1250 [8 per cell]
Te  0.0000  0.0000  0.5000 [4 per cell]
As  0.0000  0.0000  0.0000 [4 per cell]

Output
- E above lowest polymorph (meV per atom) = 463
- calculated total energy (eV/atom) = -7.464
- crystal system = tetragonal


VASP calculation (GGA-PBE) on Al2CuIrBr after structural relaxation.

a b c (Å): 4.4979 4.4979 4.8877
angles (deg): 90.00 90.00 90.00
Space group P4/mmm (No. 123)
Unique sites:
Al  0.0000  0.5000  0.0000 [2 per cell]
Cu  0.0000  0.0000  0.0000 [1 per cell]
Ir  0.0000  0.0000  0.5000 [1 per cell]
Br  0.5000  0.5000  0.5000 [1 per cell]

Output
- calculated total energy (eV/atom) = -3.735
- crystal system = tetragonal